No. 1
Density functional theory data (PBE-GGA) for TmZrZnPd after structural relaxation.

ΔE_f in meV per atom: -456

a = 4.840 Å, b = 4.840 Å, c = 4.840 Å
α = 60.00°, β = 60.00°, γ = 60.00°
Fractional positions:
Tm (0.000, 0.000, 0.000)
Zr (0.500, 0.500, 0.500)
Zn (0.250, 0.250, 0.250)
Pd (0.750, 0.750, 0.750)


No. 2
Density functional theory data (PBE-GGA) for Pr4Ho2Mg after structural relaxation.

ΔE_f in meV per atom: 183
Offset from the most stable computed form in eV/atom: 0.0667

a = 9.012 Å, b = 9.012 Å, c = 9.012 Å
α = 135.05°, β = 101.27°, γ = 95.56°
Fractional positions:
Pr (0.169, 0.156, 0.013)
Pr (0.241, 0.215, 0.474)
Pr (0.241, 0.768, 0.026)
Pr (0.357, 0.844, 0.513)
Pr (0.643, 0.156, 0.487)
Pr (0.759, 0.232, 0.974)
Pr (0.759, 0.785, 0.526)
Pr (0.831, 0.844, 0.987)
Ho (0.000, 0.500, 0.500)
Ho (0.034, 0.284, 0.750)
Ho (0.500, 0.500, 0.000)
Ho (0.966, 0.716, 0.250)
Mg (0.500, 0.000, 0.000)
Mg (0.500, 0.500, 0.500)


No. 3
Density functional theory data (PBE-GGA) for Ac6Ir2PtSe3 after structural relaxation.

ΔE_f (raw) in eV/atom: -1.362

a = 7.532 Å, b = 7.532 Å, c = 8.075 Å
α = 98.96°, β = 98.96°, γ = 120.00°
Fractional positions:
Ac (0.084, 0.425, 0.776)
Ac (0.234, 0.234, 0.225)
Ac (0.425, 0.084, 0.776)
Ac (0.575, 0.916, 0.224)
Ac (0.766, 0.766, 0.775)
Ac (0.916, 0.575, 0.224)
Ir (0.167, 0.833, 0.000)
Ir (0.833, 0.167, 0.000)
Pt (0.500, 0.500, 0.000)
Se (0.000, 0.000, 0.500)
Se (0.334, 0.666, 0.500)
Se (0.666, 0.334, 0.500)


No. 4
Density functional theory data (PBE-GGA) for VCo2Ni5 after structural relaxation.

ΔE_f in meV per atom: -66
Offset from the most stable computed form in eV/atom: 0.0000

a = 5.028 Å, b = 10.062 Å, c = 3.486 Å
α = 90.00°, β = 90.00°, γ = 90.00°
Fractional positions:
V (0.000, 0.000, 0.000)
V (0.500, 0.500, 0.000)
Co (0.243, 0.124, 0.500)
Co (0.257, 0.624, 0.500)
Co (0.743, 0.376, 0.500)
Co (0.757, 0.876, 0.500)
Ni (0.000, 0.500, 0.000)
Ni (0.009, 0.752, 0.000)
Ni (0.241, 0.375, 0.500)
Ni (0.259, 0.875, 0.500)
Ni (0.491, 0.252, 0.000)
Ni (0.500, 0.000, 0.000)
Ni (0.509, 0.748, 0.000)
Ni (0.741, 0.125, 0.500)
Ni (0.759, 0.625, 0.500)
Ni (0.991, 0.248, 0.000)


No. 5
Density functional theory data (PBE-GGA) for La2TiCdH after structural relaxation.

VASP energy in eV/atom: -4.53

a = 5.395 Å, b = 5.395 Å, c = 4.034 Å
α = 90.00°, β = 90.00°, γ = 90.00°
Fractional positions:
La (0.000, 0.500, 0.000)
La (0.500, 0.000, 0.000)
Ti (0.000, 0.000, 0.500)
Cd (0.500, 0.500, 0.500)
H (0.000, 0.000, 0.000)


No. 6
Density functional theory data (PBE-GGA) for TiTlNF2 after structural relaxation.

ΔE_f (raw) in eV/atom: -0.145
Offset from the most stable computed form in eV/atom: 1.5582

a = 4.482 Å, b = 4.482 Å, c = 4.208 Å
α = 90.00°, β = 90.00°, γ = 90.00°
Fractional positions:
Ti (0.000, 0.000, 0.000)
Tl (0.500, 0.500, 0.500)
N (0.500, 0.500, 0.000)
F (0.000, 0.500, 0.500)
F (0.500, 0.000, 0.500)


No. 7
Density functional theory data (PBE-GGA) for KBeAl after structural relaxation.

ΔE_f in meV per atom: 1091
Offset from the most stable computed form in eV/atom: 0.6025

a = 4.930 Å, b = 4.930 Å, c = 4.930 Å
α = 60.00°, β = 60.00°, γ = 60.00°
Fractional positions:
K (0.000, 0.000, 0.000)
Be (0.500, 0.500, 0.500)
Al (0.250, 0.250, 0.250)


No. 8
Density functional theory data (PBE-GGA) for HgBi7Pb12 after structural relaxation.

ΔE_f in meV per atom: 62

a = 9.241 Å, b = 9.251 Å, c = 9.252 Å
α = 107.03°, β = 107.15°, γ = 107.32°
Fractional positions:
Hg (0.000, 0.000, 0.000)
Bi (0.037, 0.337, 0.926)
Bi (0.076, 0.964, 0.664)
Bi (0.335, 0.923, 0.035)
Bi (0.500, 0.500, 0.500)
Bi (0.665, 0.077, 0.965)
Bi (0.924, 0.036, 0.336)
Bi (0.963, 0.663, 0.074)
Pb (0.015, 0.405, 0.295)
Pb (0.230, 0.377, 0.665)
Pb (0.292, 0.012, 0.403)
Pb (0.336, 0.770, 0.624)
Pb (0.379, 0.666, 0.231)
Pb (0.404, 0.294, 0.015)
Pb (0.596, 0.706, 0.985)
Pb (0.621, 0.334, 0.769)
Pb (0.664, 0.230, 0.376)
Pb (0.708, 0.988, 0.597)
Pb (0.770, 0.623, 0.335)
Pb (0.985, 0.595, 0.705)


No. 9
Density functional theory data (PBE-GGA) for Ga2Co after structural relaxation.

ΔE_f in meV per atom: -67

a = 6.099 Å, b = 6.099 Å, c = 2.750 Å
α = 90.00°, β = 90.00°, γ = 90.00°
Fractional positions:
Ga (0.226, 0.226, 0.000)
Ga (0.274, 0.726, 0.500)
Ga (0.726, 0.274, 0.500)
Ga (0.774, 0.774, 0.000)
Co (0.000, 0.000, 0.500)
Co (0.500, 0.500, 0.000)


| no. | magnetic moment (Bohr magnetons per cell) |
| --- | --- |
| 1 | 0.00 |
| 2 | 0.00 |
| 3 | 0.00 |
| 4 | 6.81 |
| 5 | 2.95 |
| 6 | 1.92 |
| 7 | 0.00 |
| 8 | 0.00 |
| 9 | 0.00 |